(1)
Density functional theory data (PBE-GGA) for a relaxed PrGa8Co2 crystal.

Results
Electronic total energy   -4.301 eV per atom

Cell and atoms, written as extended XYZ:
```
44
Lattice="12.424 0.000 0.000 0.000 14.363 0.000 0.000 0.000 4.044" Properties=species:S:1:pos:R:3 pbc="T T T"
Pr 1.969 2.592 0.000
Pr 4.243 9.773 0.000
Pr 8.180 4.589 0.000
Pr 10.455 11.771 0.000
Ga 0.000 0.000 0.000
Ga 0.000 7.181 2.022
Ga 0.281 12.450 2.022
Ga 0.616 4.596 2.022
Ga 1.213 10.720 0.000
Ga 1.991 6.539 0.000
Ga 2.023 8.910 2.022
Ga 2.102 0.128 2.022
Ga 2.954 11.844 2.022
Ga 3.258 4.663 2.022
Ga 4.110 7.309 2.022
Ga 4.188 1.728 2.022
Ga 4.221 13.721 0.000
Ga 4.999 3.539 0.000
Ga 5.596 11.777 2.022
Ga 5.931 5.269 2.022
Ga 6.212 0.000 2.022
Ga 6.212 7.181 0.000
Ga 6.493 9.094 2.022
Ga 6.828 2.586 2.022
Ga 7.425 10.824 0.000
Ga 8.203 0.642 0.000
Ga 8.235 12.635 2.022
Ga 8.314 7.054 2.022
Ga 9.166 9.700 2.022
Ga 9.470 2.519 2.022
Ga 10.321 14.235 2.022
Ga 10.400 5.453 2.022
Ga 10.433 7.824 0.000
Ga 11.211 3.643 0.000
Ga 11.808 9.767 2.022
Ga 12.143 1.913 2.022
Co 0.430 8.536 0.000
Co 1.904 12.972 0.000
Co 4.308 5.790 0.000
Co 5.782 1.354 0.000
Co 6.642 13.009 0.000
Co 8.116 8.573 0.000
Co 10.520 1.391 0.000
Co 11.994 5.827 0.000
```


(2)
Density functional theory data (PBE-GGA) for a relaxed PrSm2Ga2Co4 crystal.

Results
Electronic total energy   -5.719 eV per atom

Cell and atoms, written as extended XYZ:
```
9
Lattice="5.039 -2.056 0.000 5.039 2.056 0.000 -1.427 0.000 8.077" Properties=species:S:1:pos:R:3 pbc="T T T"
Pr 0.000 0.000 0.000
Sm 2.871 0.000 5.041
Sm 5.781 0.000 3.036
Ga 2.929 0.000 1.811
Ga 5.722 0.000 6.266
Co -0.087 0.000 5.039
Co 1.282 0.000 7.418
Co 7.370 0.000 0.659
Co 8.738 0.000 3.038
```


(3)
Density functional theory data (PBE-GGA) for a relaxed PrY2Ga2Co4 crystal.

Results
Electronic total energy   -6.147 eV per atom

Cell and atoms, written as extended XYZ:
```
9
Lattice="5.001 -2.046 0.000 5.001 2.046 0.000 -1.340 0.000 8.025" Properties=species:S:1:pos:R:3 pbc="T T T"
Pr 0.000 0.000 0.000
Y 2.898 0.000 4.986
Y 5.764 0.000 3.039
Ga 2.908 0.000 1.824
Ga 5.755 0.000 6.201
Co -0.025 0.000 4.993
Co 1.367 0.000 7.364
Co 7.295 0.000 0.662
Co 8.688 0.000 3.032
```


(4)
Density functional theory data (PBE-GGA) for a relaxed Ga2Co2Pt crystal.

Results
Electronic total energy   -5.251 eV per atom

Cell and atoms, written as extended XYZ:
```
10
Lattice="-2.425 2.425 5.907 2.425 -2.425 5.907 2.425 2.425 -5.907" Properties=species:S:1:pos:R:3 pbc="T T T"
Ga 2.425 1.212 -2.042
Ga 0.000 1.212 0.912
Ga 2.425 1.212 4.996
Ga 0.000 1.212 7.949
Co 2.425 0.000 0.000
Co -1.212 1.212 2.954
Co 0.000 0.000 5.907
Co 1.212 1.212 2.954
Pt 2.425 -1.212 4.430
Pt 0.000 3.637 1.477
```


(5)
Density functional theory data (PBE-GGA) for a relaxed Ga2CoPt crystal.

Results
Electronic total energy   -4.894 eV per atom

Cell and atoms, written as extended XYZ:
```
16
Lattice="6.087 0.000 0.000 0.000 6.087 0.000 0.000 0.000 6.087" Properties=species:S:1:pos:R:3 pbc="T T T"
Ga 0.000 0.000 0.000
Ga 0.000 3.043 3.043
Ga 1.522 1.522 1.522
Ga 1.522 4.565 4.565
Ga 3.043 0.000 3.043
Ga 3.043 3.043 0.000
Ga 4.565 1.522 4.565
Ga 4.565 4.565 1.522
Co 1.522 1.522 4.565
Co 1.522 4.565 1.522
Co 4.565 1.522 1.522
Co 4.565 4.565 4.565
Pt 0.000 0.000 3.043
Pt 0.000 3.043 0.000
Pt 3.043 0.000 0.000
Pt 3.043 3.043 3.043
```


(6)
Density functional theory data (PBE-GGA) for a relaxed TaGaCoPt crystal.

Results
Electronic total energy   -7.189 eV per atom
ΔE to the lowest computed polymorph   140.5 meV per atom

Cell and atoms, written as extended XYZ:
```
16
Lattice="6.212 0.000 0.000 0.000 6.212 0.000 0.000 0.000 6.212" Properties=species:S:1:pos:R:3 pbc="T T T"
Ta 0.000 0.000 0.000
Ta 0.000 3.106 3.106
Ta 3.106 0.000 3.106
Ta 3.106 3.106 0.000
Ga 1.553 1.553 1.553
Ga 1.553 4.659 4.659
Ga 4.659 1.553 4.659
Ga 4.659 4.659 1.553
Co 0.000 0.000 3.106
Co 0.000 3.106 0.000
Co 3.106 0.000 0.000
Co 3.106 3.106 3.106
Pt 1.553 1.553 4.659
Pt 1.553 4.659 1.553
Pt 4.659 1.553 1.553
Pt 4.659 4.659 4.659
```


no.,total magnetic moment (μB/f.u.)
1,0.0
2,1.2
3,1.0
4,2.9
5,0.3
6,0.3